# 1
{"formula": "Ca2TbMg", "functional": "PBE", "state": "relaxed", "lattice_angstrom": [[-1.895, 3.102, 0.582], [-1.940, 0.417, 3.101], [8.056, 5.899, 6.432]], "species": ["Tb", "Ca", "Ca", "Mg"], "fractional_positions": [[0.500, 0.500, 0.499], [0.079, 0.079, 0.762], [0.254, 0.254, 0.238], [0.666, 0.666, 0.001]], "delta_e_f_mev_per_atom": 89, "e_above_lowest_polymorph_mev_per_atom": 17}

# 2
{"formula": "Ca3TbMg4", "functional": "PBE", "state": "relaxed", "lattice_angstrom": [[3.840, 0.000, 0.000], [0.000, 3.840, 0.000], [0.000, 0.000, 16.373]], "species": ["Mg", "Mg", "Ca", "Mg", "Ca", "Tb", "Ca", "Mg"], "fractional_positions": [[0.000, 0.000, 0.629], [0.000, 0.000, 0.116], [0.500, 0.500, 0.243], [0.000, 0.000, 0.884], [0.500, 0.500, 0.500], [0.500, 0.500, 0.000], [0.500, 0.500, 0.757], [0.000, 0.000, 0.371]], "delta_e_f_mev_per_atom": -76}

# 3
{"formula": "CaTb2Mg2", "functional": "PBE", "state": "relaxed", "lattice_angstrom": [[3.717, 0.000, -0.499], [0.000, 5.553, 0.000], [0.038, 0.000, 14.428]], "species": ["Ca", "Mg", "Ca", "Mg", "Mg", "Mg", "Tb", "Tb", "Tb", "Tb"], "fractional_positions": [[0.850, 0.750, 0.699], [0.361, 0.250, 0.722], [0.150, 0.250, 0.301], [0.639, 0.750, 0.278], [0.551, 0.250, 0.102], [0.449, 0.750, 0.898], [0.765, 0.250, 0.530], [0.957, 0.250, 0.913], [0.235, 0.750, 0.470], [0.043, 0.750, 0.087]], "delta_e_f_mev_per_atom": -37}